Entry from the Alexandria database: a relaxed structure of SrScB12 (GGA-PBE).

## Properties
- total magnetization (μB/cell) = 0.0
- formation energy (eV/atom) = -0.333
- volume (Å³ per atom) = 10.08

Lattice parameters (Å, degrees): 4.1320 4.1320 8.2631 90.00 90.00 90.00
Fractional coordinates of all 14 atoms:
1 Sr 0.0000 0.0000 0.5000
2 Sc 0.0000 0.0000 0.0000
3 B 0.2004 0.5000 0.2453
4 B 0.2004 0.5000 0.7547
5 B 0.5000 0.5000 0.3973
6 B 0.5000 0.5000 0.9020
7 B 0.5000 0.2004 0.2453
8 B 0.5000 0.2004 0.7547
9 B 0.5000 0.5000 0.0980
10 B 0.5000 0.5000 0.6027
11 B 0.5000 0.7996 0.2453
12 B 0.5000 0.7996 0.7547
13 B 0.7996 0.5000 0.2453
14 B 0.7996 0.5000 0.7547

Entry from the Alexandria database: a relaxed structure of SrScB2 (GGA-PBE).

## Properties
- total magnetization (μB/cell) = 0.0
- formation energy (eV/atom) = 0.721
- volume (Å³ per atom) = 17.03

Lattice parameters (Å, degrees): 4.5840 4.5840 4.5840 60.00 60.00 60.00
Fractional coordinates of all 4 atoms:
1 Sc 0.0000 0.0000 0.0000
2 Sr 0.5000 0.5000 0.5000
3 B 0.2500 0.2500 0.2500
4 B 0.7500 0.7500 0.7500

Entry from the Alexandria database: a relaxed structure of Sr2ScB2 (GGA-PBE).

## Properties
- total magnetization (μB/cell) = 0.0
- formation energy (eV/atom) = 0.336
- volume (Å³ per atom) = 22.17

Lattice parameters (Å, degrees): 6.9506 6.9506 4.5898 90.00 90.00 90.00
Fractional coordinates of all 10 atoms:
1 Sc 0.0000 0.0000 0.0000
2 Sc 0.5000 0.5000 0.0000
3 Sr 0.1865 0.6865 0.5000
4 Sr 0.6865 0.8135 0.5000
5 Sr 0.8135 0.3135 0.5000
6 Sr 0.3135 0.1865 0.5000
7 B 0.4185 0.9185 0.0000
8 B 0.9185 0.5815 0.0000
9 B 0.5815 0.0815 0.0000
10 B 0.0815 0.4185 0.0000

Entry from the Alexandria database: a relaxed structure of SrSc3B (GGA-PBE).

## Properties
- total magnetization (μB/cell) = 0.0
- formation energy (eV/atom) = 0.089
- volume (Å³ per atom) = 24.13

Lattice parameters (Å, degrees): 4.9414 4.9414 4.9414 90.00 90.00 90.00
Fractional coordinates of all 5 atoms:
1 Sc 0.0000 0.5000 0.0000
2 Sc 0.0000 0.0000 0.5000
3 Sc 0.5000 0.0000 0.0000
4 Sr 0.5000 0.5000 0.5000
5 B 0.0000 0.0000 0.0000

Entry from the Alexandria database: a relaxed structure of Sr3ScB (GGA-PBE).

## Properties
- total magnetization (μB/cell) = 2.1
- formation energy (eV/atom) = 1.593
- volume (Å³ per atom) = 49.09

Lattice parameters (Å, degrees): 6.2613 6.2613 6.2613 90.00 90.00 90.00
Fractional coordinates of all 5 atoms:
1 Sc 0.0000 0.0000 0.0000
2 Sr 0.0000 0.5000 0.0000
3 Sr 0.0000 0.0000 0.5000
4 Sr 0.5000 0.0000 0.0000
5 B 0.5000 0.5000 0.5000

Entry from the Alexandria database: a relaxed structure of SrScB3 (GGA-PBE).

## Properties
- total magnetization (μB/cell) = 0.0
- formation energy (eV/atom) = 2.343
- volume (Å³ per atom) = 19.00

Lattice parameters (Å, degrees): 4.5630 4.5630 4.5630 90.00 90.00 90.00
Fractional coordinates of all 5 atoms:
1 Sc 0.5000 0.5000 0.5000
2 Sr 0.0000 0.0000 0.0000
3 B 0.0000 0.5000 0.0000
4 B 0.0000 0.0000 0.5000
5 B 0.5000 0.0000 0.0000

> Number 3 is which compound?

Sr2ScB2